A relaxed structure of Eu2FeSbO7. Source: the Alexandria database, functional PBE+U.

Lattice parameters (Å, degrees): 7.401 7.401 7.401 120.51 119.48 90.01
Positions (direct):
1 O 0.173 0.423 0.750
2 O 0.420 0.170 0.250
3 Fe 0.500 0.000 0.000
4 Eu 0.000 0.000 0.500
5 Eu 0.000 0.500 0.000
6 O 0.831 0.174 0.255
7 Fe 0.500 0.500 0.500
8 O 0.831 0.576 0.658
9 O 0.419 0.174 0.842
10 O 0.827 0.577 0.250
11 O 0.581 0.424 0.755
12 O 0.169 0.424 0.342
13 Eu 0.500 0.000 0.500
14 Sb 0.000 0.500 0.500
15 O 0.419 0.576 0.245
16 O 0.169 0.826 0.745
17 O 0.580 0.830 0.750
18 Eu 0.000 0.000 0.000
19 O 0.581 0.826 0.158
20 O 0.125 0.875 0.250
21 Sb 0.500 0.500 0.000
22 O 0.875 0.125 0.750

Final energy: -8.048 eV/atom
Mass density: 6.9 g/cm3
Space group: No. 74